(1)
The following is a PBE calculation of crystalline HoGeHO4 at its relaxed geometry, from the Open Quantum Materials Database.

Values from the calculation:
* energy: -6.866 eV/atom
* symmetry: P2_1/c, No. 14

CIF file:
```
data_HoGeHO4
_chemical_formula_sum 'Ho4 Ge4 H4 O16'
_space_group_name_H-M_alt 'P 1'
_space_group_IT_number 1
_space_group_name_Hall 'P 1'
_cell_length_a 8.0510
_cell_length_b 6.5596
_cell_length_c 6.8868
_cell_angle_alpha 90.00
_cell_angle_beta 115.17
_cell_angle_gamma 90.00
loop_
_atom_site_label
_atom_site_fract_x
_atom_site_fract_y
_atom_site_fract_z
Ho1 0.2129 0.1399 0.1095
Ho2 0.2129 0.3601 0.6095
Ho3 0.7871 0.6399 0.3905
Ho4 0.7871 0.8601 0.8905
Ge1 0.2433 0.6156 0.1197
Ge2 0.2433 0.8844 0.6197
Ge3 0.7567 0.1156 0.3803
Ge4 0.7567 0.3844 0.8803
H1 0.4800 0.6696 0.6033
H2 0.4800 0.8304 0.1033
H3 0.5200 0.1696 0.8967
H4 0.5200 0.3304 0.3967
O1 0.0854 0.6862 0.5445
O2 0.0854 0.8138 0.0445
O3 0.2176 0.0666 0.4254
O4 0.2176 0.4334 0.9254
O5 0.2737 0.0423 0.8373
O6 0.2737 0.4577 0.3373
O7 0.4644 0.7455 0.2127
O8 0.4644 0.7545 0.7127
O9 0.5356 0.2455 0.2873
O10 0.5356 0.2545 0.7873
O11 0.7263 0.5423 0.6627
O12 0.7263 0.9577 0.1627
O13 0.7824 0.5666 0.0746
O14 0.7824 0.9334 0.5746
O15 0.9146 0.1862 0.9555
O16 0.9146 0.3138 0.4555
```

***

(2)
The following is a PBE calculation of crystalline MgCuW2 at its relaxed geometry, from the Open Quantum Materials Database.

Values from the calculation:
* energy: -7.319 eV/atom
* symmetry: F-43m, No. 216

CIF file:
```
data_MgCuW2
_chemical_formula_sum 'Mg4 Cu4 W8'
_space_group_name_H-M_alt 'P 1'
_space_group_IT_number 1
_space_group_name_Hall 'P 1'
_cell_length_a 6.2809
_cell_length_b 6.2809
_cell_length_c 6.2809
_cell_angle_alpha 90.00
_cell_angle_beta 90.00
_cell_angle_gamma 90.00
loop_
_atom_site_label
_atom_site_fract_x
_atom_site_fract_y
_atom_site_fract_z
Mg1 0.0000 0.0000 0.0000
Mg2 0.0000 0.5000 0.5000
Mg3 0.5000 0.0000 0.5000
Mg4 0.5000 0.5000 0.0000
Cu1 0.2500 0.2500 0.2500
Cu2 0.2500 0.7500 0.7500
Cu3 0.7500 0.2500 0.7500
Cu4 0.7500 0.7500 0.2500
W1 0.0000 0.0000 0.5000
W2 0.0000 0.5000 0.0000
W3 0.2500 0.2500 0.7500
W4 0.2500 0.7500 0.2500
W5 0.5000 0.0000 0.0000
W6 0.5000 0.5000 0.5000
W7 0.7500 0.2500 0.2500
W8 0.7500 0.7500 0.7500
```

***

(3)
The following is a PBE calculation of crystalline NbAgPt2 at its relaxed geometry, from the Open Quantum Materials Database.

Values from the calculation:
* ΔE_f: -9 kJ/mol of atoms
* energy: -6.353 eV/atom
* symmetry: F-43m, No. 216

CIF file:
```
data_NbAgPt2
_chemical_formula_sum 'Nb4 Ag4 Pt8'
_space_group_name_H-M_alt 'P 1'
_space_group_IT_number 1
_space_group_name_Hall 'P 1'
_cell_length_a 6.4299
_cell_length_b 6.4299
_cell_length_c 6.4299
_cell_angle_alpha 90.00
_cell_angle_beta 90.00
_cell_angle_gamma 90.00
loop_
_atom_site_label
_atom_site_fract_x
_atom_site_fract_y
_atom_site_fract_z
Nb1 0.0000 0.0000 0.0000
Nb2 0.0000 0.5000 0.5000
Nb3 0.5000 0.0000 0.5000
Nb4 0.5000 0.5000 0.0000
Ag1 0.2500 0.2500 0.2500
Ag2 0.2500 0.7500 0.7500
Ag3 0.7500 0.2500 0.7500
Ag4 0.7500 0.7500 0.2500
Pt1 0.0000 0.0000 0.5000
Pt2 0.0000 0.5000 0.0000
Pt3 0.2500 0.2500 0.7500
Pt4 0.2500 0.7500 0.2500
Pt5 0.5000 0.0000 0.0000
Pt6 0.5000 0.5000 0.5000
Pt7 0.7500 0.2500 0.2500
Pt8 0.7500 0.7500 0.7500
```

***

(4)
The following is a PBE calculation of crystalline LiCo2Ge at its relaxed geometry, from the Open Quantum Materials Database.

Values from the calculation:
* energy: -5.231 eV/atom
* symmetry: F-43m, No. 216

CIF file:
```
data_LiCo2Ge
_chemical_formula_sum 'Li4 Co8 Ge4'
_space_group_name_H-M_alt 'P 1'
_space_group_IT_number 1
_space_group_name_Hall 'P 1'
_cell_length_a 5.6762
_cell_length_b 5.6762
_cell_length_c 5.6762
_cell_angle_alpha 90.00
_cell_angle_beta 90.00
_cell_angle_gamma 90.00
loop_
_atom_site_label
_atom_site_fract_x
_atom_site_fract_y
_atom_site_fract_z
Li1 0.0000 0.0000 0.0000
Li2 0.0000 0.5000 0.5000
Li3 0.5000 0.0000 0.5000
Li4 0.5000 0.5000 0.0000
Co1 0.0000 0.0000 0.5000
Co2 0.0000 0.5000 0.0000
Co3 0.2500 0.2500 0.7500
Co4 0.2500 0.7500 0.2500
Co5 0.5000 0.0000 0.0000
Co6 0.5000 0.5000 0.5000
Co7 0.7500 0.2500 0.2500
Co8 0.7500 0.7500 0.7500
Ge1 0.2500 0.2500 0.2500
Ge2 0.2500 0.7500 0.7500
Ge3 0.7500 0.2500 0.7500
Ge4 0.7500 0.7500 0.2500
```